[1]
DFT (PBE-GGA) results for a relaxed structure of Dy3InSi2Pt9.

The formation energy without anion corrections comes out at -0.785 eV per atom. Its final energy is -93.54 eV/cell.

The structure belongs to space group P-3m1 (No. 164); the cell edges are 5.6490, 5.6490 and 11.1966 Å and the angles 90.00°, 90.00° and 120.00°. The distinct sites, in fractional coordinates, are Dy at (0.0000, 0.0000, 0.0000), Dy at (0.3333, 0.6667, 0.6027), In at (0.0000, 0.0000, 0.5000), Si at (0.3333, 0.6667, 0.1577), Pt at (0.0000, 0.5000, 0.0000) and Pt at (0.1647, 0.3294, 0.3082).

[2]
DFT (PBE-GGA) results for a relaxed structure of RbNa12Tl7.

Its final energy is -102.45 eV/cell. The calculation puts the energy relative to the elements at -0.040 eV per atom.

The structure belongs to space group R-3m (No. 166, hexagonal axes); the cell edges are 16.5011, 16.5011 and 8.6680 Å and the angles 90.00°, 90.00° and 120.00°. The distinct sites, in fractional coordinates, are Rb at (0.0000, 0.0000, 0.0000), Na at (0.0000, 0.2673, 0.0000), Na at (0.1074, 0.2148, 0.3509), Tl at (0.0000, 0.0000, 0.5000) and Tl at (0.0977, 0.5488, 0.3934).

[3]
DFT (PBE-GGA) results for a relaxed structure of Ba2ErU3O12.

The formation energy without anion corrections comes out at -3.161 eV per atom. Its final energy is -476.01 eV/cell.

The structure belongs to space group R-3m (No. 166, hexagonal axes); the cell edges are 8.1272, 8.1272 and 18.9575 Å and the angles 90.00°, 90.00° and 120.00°. The distinct sites, in fractional coordinates, are Ba at (0.0000, 0.0000, 0.1871), Er at (0.0000, 0.0000, 0.5000), U at (0.0000, 0.5000, 0.0000), O at (0.0614, 0.5307, 0.1039) and O at (0.0969, 0.5485, 0.3627).

[4]
DFT (PBE-GGA) results for a relaxed structure of Tb2HoTmTh.

Its final energy is -48.13 eV/cell. The calculation puts the energy relative to the elements at 0.333 eV per atom.

The structure belongs to space group P2/c (No. 13); the cell edges are 8.475, 6.301 and 6.296 Å and the angles 90.00°, 96.01° and 90.00°. The distinct sites, in fractional coordinates, are Tb at (0.188, 0.201, 0.281), Ho at (0.500, 0.500, 0.000), Tm at (0.000, 0.316, 0.750) and Th at (0.500, 0.052, 0.750).

[5]
DFT (PBE-GGA) results for a relaxed structure of AcTb12Pm2.

Its final energy is -270.14 eV/cell. The calculation puts the energy relative to the elements at 0.109 eV per atom.

The structure belongs to space group C2/m (No. 12); the cell edges are 7.199, 11.325 and 24.707 Å and the angles 90.00°, 94.19° and 90.00°. The distinct sites, in fractional coordinates, are Ac at (0.250, 0.000, 0.000), Tb at (0.019, 0.250, 0.078), Tb at (0.112, 0.249, 0.445), Tb at (0.141, 0.500, 0.572), Tb at (0.143, 0.000, 0.571), Tb at (0.167, 0.250, 0.668), Tb at (0.199, 0.250, 0.796), Tb at (0.215, 0.000, 0.858), Tb at (0.215, 0.500, 0.859), Pm at (0.069, 0.000, 0.276) and Pm at (0.069, 0.500, 0.276).

[6]
DFT (PBE-GGA) results for a relaxed structure of Y2IrPb.

Its final energy is -28.15 eV/cell. The calculation puts the energy relative to the elements at -0.664 eV per atom.

The structure belongs to space group P2/m (No. 10); the cell edges are 3.435, 3.503 and 8.170 Å and the angles 90.00°, 90.07° and 90.00°. The distinct sites, in fractional coordinates, are Y at (0.001, 0.000, 0.206), Ir at (0.500, 0.500, 0.000) and Pb at (0.500, 0.500, 0.500).

[7]
DFT (PBE-GGA) results for a relaxed structure of TlIr.

Its final energy is -40.41 eV/cell. The calculation puts the energy relative to the elements at 0.563 eV per atom.

The structure belongs to space group Imma (No. 74); the cell edges are 2.967, 4.730 and 11.293 Å and the angles 90.00°, 90.00° and 90.00°. The distinct sites, in fractional coordinates, are Tl at (0.000, 0.250, 0.102) and Ir at (0.000, 0.250, 0.652).

[8]
DFT (PBE-GGA) results for a relaxed structure of SrCa2Sb.

The formation energy without anion corrections comes out at -0.413 eV per atom. Its final energy is -22.92 eV/cell.

The structure belongs to space group I4/mmm (No. 139); the cell edges are 4.971, 4.971 and 11.283 Å and the angles 90.00°, 90.00° and 90.00°. The distinct sites, in fractional coordinates, are Sr at (0.000, 0.000, 0.000), Ca at (0.000, 0.500, 0.250) and Sb at (0.000, 0.000, 0.500).

[9]
DFT (PBE-GGA) results for a relaxed structure of CaRe2Se.

The formation energy without anion corrections comes out at 0.810 eV per atom. Its final energy is -27.14 eV/cell.

The structure belongs to space group P4/mmm (No. 123); the cell edges are 3.073, 3.073 and 7.722 Å and the angles 90.00°, 90.00° and 90.00°. The distinct sites, in fractional coordinates, are Ca at (0.000, 0.000, 0.000), Re at (0.500, 0.500, 0.311) and Se at (0.000, 0.000, 0.500).

[10]
DFT (PBE-GGA) results for a relaxed structure of Cr2Ni2Pt.

Its final energy is -73.01 eV/cell. The calculation puts the energy relative to the elements at 0.069 eV per atom. The energy above the most stable polymorph in this dataset is 77.8 meV/atom.

The structure belongs to space group P4/mbm (No. 127); the cell edges are 6.823, 6.823 and 2.621 Å and the angles 90.00°, 90.00° and 90.00°. The distinct sites, in fractional coordinates, are Cr at (0.172, 0.328, 0.000), Ni at (0.124, 0.624, 0.500) and Pt at (0.000, 0.000, 0.500).

[11]
DFT (PBE-GGA) results for a relaxed structure of CuSn2Os.

Its final energy is -65.11 eV/cell. The calculation puts the energy relative to the elements at 0.407 eV per atom. The energy above the most stable polymorph in this dataset is 0.0 meV/atom.

The structure belongs to space group R-3m (No. 166, hexagonal axes); the cell edges are 3.2293, 3.2293 and 27.3125 Å and the angles 90.00°, 90.00° and 120.00°. The distinct sites, in fractional coordinates, are Cu at (0.0000, 0.0000, 0.0000), Sn at (0.0000, 0.0000, 0.0930) and Os at (0.0000, 0.0000, 0.5000).

[12]
DFT (PBE-GGA) results for a relaxed structure of Ti2TcPtC.

Its final energy is -44.40 eV/cell. The calculation puts the energy relative to the elements at -0.597 eV per atom.

The structure belongs to space group P4/mmm (No. 123); the cell edges are 4.196, 4.196 and 3.950 Å and the angles 90.00°, 90.00° and 90.00°. The distinct sites, in fractional coordinates, are Ti at (0.000, 0.500, 0.000), Tc at (0.000, 0.000, 0.500), Pt at (0.500, 0.500, 0.500) and C at (0.000, 0.000, 0.000).